(1)
PBE AlOsCl8, optimized geometry; crystal system = orthorhombic; magnetization = 6.002 μB per cell; symmetry = Cmcm (63); E_tot = -3.80 eV per atom
1.0
4.004 -8.535 0.000
4.004 8.535 0.000
0.000 0.000 8.208
Al Cl Os
2 16 2
direct
0.683 0.317 0.250
0.317 0.683 0.750
0.129 0.871 0.028
0.618 0.382 0.033
0.567 0.022 0.250
0.177 0.239 0.250
0.978 0.433 0.250
0.761 0.823 0.250
0.618 0.382 0.467
0.129 0.871 0.472
0.871 0.129 0.528
0.382 0.618 0.533
0.239 0.177 0.750
0.022 0.567 0.750
0.823 0.761 0.750
0.433 0.978 0.750
0.382 0.618 0.967
0.871 0.129 0.972
0.882 0.118 0.250
0.118 0.882 0.750

(2)
PBE Al2PdCl8, optimized geometry; crystal system = monoclinic; symmetry = P2_1/c (14); E_tot = -3.71 eV per atom
1.0
-5.464 1.345 3.504
-3.510 -5.530 -3.350
5.134 -8.411 8.506
Al Cl Pd
4 16 2
direct
0.339 0.783 0.103
0.661 0.283 0.397
0.339 0.717 0.603
0.661 0.217 0.897
0.857 0.227 0.048
0.647 0.788 0.076
0.234 0.509 0.149
0.250 0.982 0.204
0.750 0.482 0.296
0.766 0.009 0.351
0.353 0.288 0.424
0.143 0.727 0.452
0.857 0.273 0.548
0.647 0.712 0.576
0.234 0.991 0.649
0.250 0.518 0.704
0.750 0.018 0.796
0.766 0.491 0.851
0.353 0.212 0.924
0.143 0.773 0.952
0.000 0.500 0.000
0.000 0.000 0.500

(3)
PBE PrSm2AlCl3, optimized geometry; crystal system = tetragonal; magnetization = 0.002 μB per cell; symmetry = P4/mmm (123); E_tot = -4.78 eV per atom
1.0
5.818 0.000 0.000
0.000 5.818 0.000
0.000 0.000 5.833
Al Cl Pr Sm
1 3 1 2
direct
0.000 0.000 0.500
0.500 0.000 0.000
0.000 0.500 0.000
0.500 0.500 0.500
0.000 0.000 0.000
0.500 0.000 0.500
0.000 0.500 0.500

(4)
PBE Pr2SmAlCl3, optimized geometry; crystal system = tetragonal; magnetization = 0.002 μB per cell; symmetry = P4/mmm (123); E_tot = -4.80 eV per atom
1.0
5.870 0.000 0.000
0.000 5.870 0.000
0.000 0.000 5.853
Al Cl Pr Sm
1 3 2 1
direct
0.000 0.000 0.500
0.500 0.000 0.000
0.000 0.500 0.000
0.500 0.500 0.500
0.500 0.000 0.500
0.000 0.500 0.500
0.000 0.000 0.000

no.,V (Å³ per cell)
1,560.95
2,630.92
3,197.42
4,201.69